BaGe2P2 | PBEsol | optimized geometry

Geometry as POSCAR:
```
BaGe2P2
1.0
4.693 0.000 0.000
0.000 4.693 0.000
-2.347 -2.347 5.260
P Ge Ba
2 2 1
Direct
0.668 0.668 0.336
0.332 0.332 0.664
0.250 0.750 0.500
0.750 0.250 0.500
0.000 0.000 0.000
```

space-group type	I4/mmm
total magnetic moment	0.00	Bohr magnetons per cell
formation energy from the elements	-31.0	kJ per mole of atoms
D(E_F)	1.88	states/eV/cell

***

BaGeP2S | PBEsol | optimized geometry

Geometry as POSCAR:
```
BaGeP2S
1.0
5.462 0.000 0.000
0.000 5.462 0.000
0.000 0.000 5.494
P Ba Ge S
2 1 1 1
Direct
0.500 0.000 0.000
0.000 0.500 0.000
0.000 0.000 0.000
0.500 0.500 0.500
0.000 0.000 0.500
```

uncorrected formation energy	1.337	eV per atom
space-group type	P4/mmm
total magnetic moment	0.02	Bohr magnetons per cell
D(E_F)	6.12	states/eV/cell

***

Ba2Ge4Pd5 | PBEsol | optimized geometry

Geometry as POSCAR:
```
Ba2Ge4Pd5
1.0
5.883 0.000 0.000
0.000 8.909 -0.007
0.000 -2.220 8.628
Ge Pd Ba
8 10 4
Direct
0.558 0.543 0.792
0.442 0.792 0.543
0.058 0.292 0.043
0.942 0.708 0.957
0.058 0.957 0.708
0.442 0.457 0.208
0.558 0.208 0.457
0.942 0.043 0.292
0.750 0.977 0.523
0.250 0.226 0.274
0.750 0.774 0.726
0.750 0.477 0.023
0.250 0.726 0.774
0.500 0.500 0.500
0.750 0.274 0.226
0.000 0.000 0.000
0.250 0.523 0.977
0.250 0.023 0.477
0.467 0.858 0.142
0.033 0.358 0.642
0.533 0.142 0.858
0.967 0.642 0.358
```

space-group type	Cmce
total magnetic moment	0.00	Bohr magnetons per cell
formation energy from the elements	-67.1	kJ per mole of atoms
D(E_F)	9.95	states/eV/cell